Record 1
# Sr2MgZnCd6 | Alexandria via LeMat-Bulk | PBE | optimized geometry
# **Formation energy**: -1.62 eV/f.u.
# **VASP energy**: -1.335 eV per atom
data_Sr2MgZnCd6
_chemical_formula_sum 'Sr12 Mg6 Zn6 Cd36'
_space_group_name_H-M_alt 'R -3 m'
_space_group_IT_number 166
_space_group_name_Hall '-R 3 2"'
_cell_length_a 7.1414
_cell_length_b 7.1414
_cell_length_c 37.2861
_cell_angle_alpha 90.00
_cell_angle_beta 90.00
_cell_angle_gamma 120.00
loop_
_atom_site_label
_atom_site_fract_x
_atom_site_fract_y
_atom_site_fract_z
_atom_site_occupancy
Sr1 0.0000 0.0000 0.1053 1
Sr2 0.0000 0.0000 0.2789 1
Mg1 0.0000 0.0000 0.4259 1
Zn1 0.0000 0.0000 0.0000 1
Zn2 0.0000 0.0000 0.5000 1
Cd1 0.0526 0.5263 0.3031 1
Cd2 0.0622 0.5311 0.8625 1

***

Record 2
# SrMg6ZnCd | Alexandria via LeMat-Bulk | PBE | optimized geometry
# **Formation energy**: 0.46 eV/f.u.
# **VASP energy**: -1.443 eV per atom
data_SrMg6ZnCd
_chemical_formula_sum 'Sr4 Mg24 Zn4 Cd4'
_space_group_name_H-M_alt 'I m m a'
_space_group_IT_number 74
_space_group_name_Hall '-I 2b 2'
_cell_length_a 7.564
_cell_length_b 10.091
_cell_length_c 12.573
_cell_angle_alpha 90.00
_cell_angle_beta 90.00
_cell_angle_gamma 90.00
loop_
_atom_site_label
_atom_site_fract_x
_atom_site_fract_y
_atom_site_fract_z
_atom_site_occupancy
Sr1 0.000 0.250 0.199 1
Mg1 0.000 0.250 0.502 1
Mg2 0.000 0.250 0.924 1
Mg3 0.202 0.006 0.624 1
Zn1 0.000 0.000 0.000 1
Cd1 0.250 0.250 0.750 1

***

Record 3
# SrMgZn2Cd | Alexandria via LeMat-Bulk | PBE | optimized geometry
# **Formation energy**: -0.99 eV/f.u.
# **VASP energy**: -1.546 eV per atom
# **ΔE to the lowest computed polymorph**: 0.000 eV per atom
data_SrMgZn2Cd
_chemical_formula_sum 'Sr2 Mg2 Zn4 Cd2'
_space_group_name_H-M_alt 'I m m 2'
_space_group_IT_number 44
_space_group_name_Hall 'I 2 -2'
_cell_length_a 4.380
_cell_length_b 4.464
_cell_length_c 12.373
_cell_angle_alpha 90.00
_cell_angle_beta 90.00
_cell_angle_gamma 90.00
loop_
_atom_site_label
_atom_site_fract_x
_atom_site_fract_y
_atom_site_fract_z
_atom_site_occupancy
Sr1 0.000 0.000 0.000 1
Mg1 0.000 0.500 0.762 1
Zn1 0.000 0.000 0.396 1
Zn2 0.000 0.500 0.273 1
Cd1 0.000 0.000 0.618 1

***

Record 4
# SrMg2ZnCd4 | Alexandria via LeMat-Bulk | PBE | optimized geometry
# **Formation energy**: -0.89 eV/f.u.
# **VASP energy**: -1.337 eV per atom
data_SrMg2ZnCd4
_chemical_formula_sum 'Sr3 Mg6 Zn3 Cd12'
_space_group_name_H-M_alt 'R -3 m'
_space_group_IT_number 166
_space_group_name_Hall '-R 3 2"'
_cell_length_a 4.8509
_cell_length_b 4.8509
_cell_length_c 29.0412
_cell_angle_alpha 90.00
_cell_angle_beta 90.00
_cell_angle_gamma 120.00
loop_
_atom_site_label
_atom_site_fract_x
_atom_site_fract_y
_atom_site_fract_z
_atom_site_occupancy
Sr1 0.0000 0.0000 0.0000 1
Mg1 0.0000 0.0000 0.2410 1
Zn1 0.0000 0.0000 0.5000 1
Cd1 0.0000 0.0000 0.1313 1
Cd2 0.0000 0.0000 0.3996 1